(1)
Density functional theory data (GGA-PBE) for a relaxed Sm2DyRh crystal.

Properties
crystal system: trigonal
excess energy over the best structure of this formula in the dataset: 387 meV/atom
energy relative to the elements: -91 meV per atom
ρ: 7.55 g/cm3
total magnetic moment: 0.39 μB/cell
DOS at the Fermi energy: 5.64 states/eV/cell

Cell and atoms, written as CIF:
```
data_Sm2DyRh
_chemical_formula_sum 'Sm2 Dy1 Rh1'
_cell_length_a 10.8195
_cell_length_b 10.8195
_cell_length_c 10.8195
_cell_angle_alpha 19.59
_cell_angle_beta 19.59
_cell_angle_gamma 19.59
_space_group_name_H-M_alt 'P 1'
_space_group_IT_number 1
_space_group_name_Hall 'P 1'
loop_
_atom_site_label
_atom_site_type_symbol
_atom_site_fract_x
_atom_site_fract_y
_atom_site_fract_z
_atom_site_occupancy
Sm1 Sm 0.1099 0.1099 0.1099 1
Sm2 Sm 0.8901 0.8901 0.8901 1
Dy1 Dy 0.0000 0.0000 0.0000 1
Rh1 Rh 0.5000 0.5000 0.5000 1
```

=====

(2)
Density functional theory data (GGA-PBE) for a relaxed PaHgBr6 crystal.

Properties
crystal system: monoclinic
excess energy over the best structure of this formula in the dataset: 0 meV/atom
formation energy (no corrections): -1086 meV per atom
ρ: 4.54 g/cm3
total magnetic moment: 0.00 μB/cell
DOS at the Fermi energy: 3.61 states/eV/cell

Cell and atoms, written as CIF:
```
data_PaHgBr6
_chemical_formula_sum 'Pa1 Hg1 Br6'
_cell_length_a 7.4326
_cell_length_b 7.4326
_cell_length_c 7.3686
_cell_angle_alpha 99.74
_cell_angle_beta 99.74
_cell_angle_gamma 119.70
_space_group_name_H-M_alt 'P 1'
_space_group_IT_number 1
_space_group_name_Hall 'P 1'
loop_
_atom_site_label
_atom_site_type_symbol
_atom_site_fract_x
_atom_site_fract_y
_atom_site_fract_z
_atom_site_occupancy
Pa1 Pa 0.0000 0.0000 0.0000 1
Hg1 Hg 0.5000 0.5000 0.5000 1
Br1 Br 0.0691 0.3731 0.2299 1
Br2 Br 0.2268 0.2268 0.7824 1
Br3 Br 0.3731 0.0691 0.2299 1
Br4 Br 0.6269 0.9309 0.7701 1
Br5 Br 0.7732 0.7732 0.2176 1
Br6 Br 0.9309 0.6269 0.7701 1
```

=====

(3)
Density functional theory data (GGA-PBE) for a relaxed MnAl2Pd8 crystal.

Properties
crystal system: orthorhombic
excess energy over the best structure of this formula in the dataset: 6 meV/atom
energy relative to the elements: -507 meV per atom
ρ: 9.48 g/cm3
total magnetic moment: 4.31 μB/cell
DOS at the Fermi energy: 4.17 states/eV/cell

Cell and atoms, written as CIF:
```
data_MnAl2Pd8
_chemical_formula_sum 'Mn1 Al2 Pd8'
_cell_length_a 7.1781
_cell_length_b 7.1781
_cell_length_c 7.1781
_cell_angle_alpha 147.06
_cell_angle_beta 121.98
_cell_angle_gamma 68.35
_space_group_name_H-M_alt 'P 1'
_space_group_IT_number 1
_space_group_name_Hall 'P 1'
loop_
_atom_site_label
_atom_site_type_symbol
_atom_site_fract_x
_atom_site_fract_y
_atom_site_fract_z
_atom_site_occupancy
Mn1 Mn 0.0000 0.0000 0.0000 1
Al1 Al 0.3061 0.3061 0.0000 1
Al2 Al 0.6939 0.6939 0.0000 1
Pd1 Pd 0.1204 0.8393 0.2811 1
Pd2 Pd 0.1456 0.6456 0.5000 1
Pd3 Pd 0.3063 0.5000 0.8063 1
Pd4 Pd 0.4419 0.1607 0.2811 1
Pd5 Pd 0.5581 0.8393 0.7189 1
Pd6 Pd 0.6937 0.5000 0.1937 1
Pd7 Pd 0.8544 0.3544 0.5000 1
Pd8 Pd 0.8796 0.1607 0.7189 1
```

=====

(4)
Density functional theory data (GGA-PBE) for a relaxed TiCu3 crystal.

Properties
crystal system: orthorhombic
energy relative to the elements: -95 meV per atom
ρ: 7.60 g/cm3
total magnetic moment: 0.00 μB/cell
DOS at the Fermi energy: 5.88 states/eV/cell

Cell and atoms, written as CIF:
```
data_TiCu3
_chemical_formula_sum 'Ti2 Cu6'
_cell_length_a 4.3233
_cell_length_b 5.4405
_cell_length_c 4.4287
_cell_angle_alpha 90.00
_cell_angle_beta 90.00
_cell_angle_gamma 90.00
_space_group_name_H-M_alt 'P 1'
_space_group_IT_number 1
_space_group_name_Hall 'P 1'
loop_
_atom_site_label
_atom_site_type_symbol
_atom_site_fract_x
_atom_site_fract_y
_atom_site_fract_z
_atom_site_occupancy
Ti1 Ti 0.2500 0.2500 0.1603 1
Ti2 Ti 0.7500 0.7500 0.8397 1
Cu1 Cu 0.2500 0.5034 0.6675 1
Cu2 Cu 0.2500 0.7500 0.1801 1
Cu3 Cu 0.2500 0.9966 0.6675 1
Cu4 Cu 0.7500 0.0034 0.3325 1
Cu5 Cu 0.7500 0.2500 0.8199 1
Cu6 Cu 0.7500 0.4966 0.3325 1
```

=====

Calculated DFT total energy in order - -21.8 -28.5 -63.8 -41.1 eV for the cell shown